## LaGaAg4 (PBE)

Data for LaGaAg4 after structural relaxation.

Cell: 8.094 4.229 7.469 Å, 90.00 90.00 90.00°
Fractional positions:
1 La 0.250 0.000 0.115
2 La 0.750 0.000 0.885
3 Ga 0.250 0.000 0.712
4 Ga 0.750 0.000 0.288
5 Ag 0.000 0.000 0.500
6 Ag 0.056 0.500 0.813
7 Ag 0.250 0.500 0.449
8 Ag 0.444 0.500 0.813
9 Ag 0.500 0.000 0.500
10 Ag 0.556 0.500 0.187
11 Ag 0.750 0.500 0.551
12 Ag 0.944 0.500 0.187

Results
Distance to the lowest polymorph of the same formula: 16.9 kJ/mol of formula units
ΔH_f (0 K): -0.168 eV per atom
Magnetization: 0.000 Bohr magnetons per cell
Volume: 21.31 A^3/atom



## ScTiTe3 (PBE)

Data for ScTiTe3 after structural relaxation.

Cell: 9.117 9.117 6.979 Å, 97.98 97.98 81.61°
Fractional positions:
1 Sc 0.154 0.322 0.325
2 Sc 0.322 0.154 0.825
3 Sc 0.678 0.846 0.175
4 Sc 0.846 0.678 0.675
5 Ti 0.252 0.748 0.250
6 Ti 0.434 0.566 0.750
7 Ti 0.566 0.434 0.250
8 Ti 0.748 0.252 0.750
9 Te 0.029 0.180 0.960
10 Te 0.143 0.626 0.540
11 Te 0.180 0.029 0.460
12 Te 0.284 0.465 0.028
13 Te 0.374 0.857 0.960
14 Te 0.465 0.284 0.528
15 Te 0.535 0.716 0.472
16 Te 0.626 0.143 0.040
17 Te 0.716 0.535 0.972
18 Te 0.820 0.971 0.540
19 Te 0.857 0.374 0.460
20 Te 0.971 0.820 0.040

Results
Distance to the lowest polymorph of the same formula: 44.3 kJ/mol of formula units
Magnetization: 3.528 Bohr magnetons per cell
ΔE_f (raw): -0.787 eV per atom
Volume: 28.21 A^3/atom



## Nd6HoMg (PBE)

Data for Nd6HoMg after structural relaxation.

Cell: 5.079 5.079 10.255 Å, 90.00 90.00 90.00°
Fractional positions:
1 Nd 0.000 0.000 0.000
2 Nd 0.000 0.000 0.500
3 Nd 0.000 0.500 0.247
4 Nd 0.000 0.500 0.753
5 Nd 0.500 0.000 0.247
6 Nd 0.500 0.000 0.753
7 Ho 0.500 0.500 0.500
8 Mg 0.500 0.500 0.000

Results
Distance to the lowest polymorph of the same formula: 0.0 kJ/mol of formula units
ΔH_f (0 K): 0.001 eV per atom
Magnetization: 0.000 Bohr magnetons per cell
Volume: 33.07 A^3/atom



## RbEuO3 (PBE)

Data for RbEuO3 after structural relaxation.

Cell: 4.505 4.505 4.505 Å, 90.00 90.00 90.00°
Fractional positions:
1 Rb 0.000 0.000 0.000
2 Eu 0.500 0.500 0.500
3 O 0.000 0.500 0.500
4 O 0.500 0.000 0.500
5 O 0.500 0.500 0.000

Results
Magnetization: 4.000 Bohr magnetons per cell
ΔE_f (raw): -1.581 eV per atom
Volume: 18.28 A^3/atom



Taking the records one at a time from the top gives total energy values of -40.7; -110.3; -34.8; -34.0 eV per cell.